A relaxed structure of CaMo2W, computed with PBE.

## Properties
* raw total energy: -8.44 eV per atom
* space-group type: Fm-3m
* energy relative to the elements: 276 kJ/mol of formula units
* energy relative to the lowest polymorph listed for this composition: 229.3 meV/atom

Geometry as extended XYZ:
```
4
Lattice="0.000 3.281 3.281 3.281 0.000 3.281 3.281 3.281 0.000" Properties=species:S:1:pos:R:3 pbc="T T T"
Ca 0.000 0.000 0.000
Mo 1.640 1.640 1.640
Mo 4.921 4.921 4.921
W 3.281 3.281 3.281
```